## RhI3F (PBE-GGA)

Data for a geometry-optimized RhI3F structure.

Properties
* formation energy from raw total energies: 0.78 eV/atom
* N(E_F): 9.1 states/eV/f.u.
* relative energy among the computed polymorphs: 650 meV/atom

a = 5.2457 Å, b = 5.2457 Å, c = 5.2457 Å
α = 90.00°, β = 90.00°, γ = 90.00°
Site moments in Bohr magnetons follow the coordinates.
Fractional positions:
I: 0.5000 0.0000 0.0000  0.24
F: 0.0000 0.0000 0.0000  0.11
Rh: 0.5000 0.5000 0.5000  1.64
I: 0.0000 0.0000 0.5000  0.24
I: 0.0000 0.5000 0.0000  0.30